*1*
# MnBe2Os2

A geometry-optimized MnBe2Os2 structure (PBE, the Alexandria database).

```
10
Lattice="6.052 0.000 0.000 0.000 6.052 0.000 0.000 0.000 2.947" Properties=species:S:1:pos:R:3 pbc="T T T"
Be 2.271 5.296 0.000
Be 5.296 3.781 0.000
Be 3.781 0.755 0.000
Be 0.755 2.271 0.000
Mn 0.000 0.000 0.000
Mn 3.026 3.026 0.000
Os 1.035 4.061 1.474
Os 4.061 5.017 1.474
Os 5.017 1.991 1.474
Os 1.991 1.035 1.474
```

Properties
As for the space group: P4/mbm (127). Its crystal system is tetragonal. Its magnetization is 0.005 μB per formula unit.



*2*
# MnBe2Os2

A geometry-optimized MnBe2Os2 structure (PBE, the Alexandria database).

```
10
Lattice="6.422 0.000 0.000 0.000 6.422 0.000 0.000 0.000 2.866" Properties=species:S:1:pos:R:3 pbc="T T T"
Be 0.998 4.209 1.433
Be 4.209 5.424 1.433
Be 5.424 2.213 1.433
Be 2.213 0.998 1.433
Mn 0.000 0.000 0.000
Mn 3.211 3.211 0.000
Os 2.292 5.503 0.000
Os 5.503 4.129 0.000
Os 4.129 0.918 0.000
Os 0.918 2.292 0.000
```

Properties
As for the space group: P4/mbm (127). Its crystal system is tetragonal. Its magnetization is 0.004 μB per formula unit.



Question: of the structures shown, which is the most stable? Reply: *1*.